The following is a GGA-PBE calculation of crystalline BaMg6Ag6 at its relaxed geometry, from Alexandria via LeMat-Bulk.

```
BaMg6Ag6
1.0
-2.835 4.893 5.094
2.835 -4.893 5.094
2.835 4.893 -5.094
Ba Mg Ag
1 6 6
direct
0.000 0.000 0.000
0.207 0.707 0.500
0.347 0.000 0.347
0.352 0.352 0.000
0.648 0.648 0.000
0.653 0.000 0.653
0.793 0.293 0.500
0.000 0.000 0.500
0.000 0.500 0.000
0.231 0.500 0.731
0.500 0.000 0.000
0.500 0.500 0.500
0.769 0.500 0.269
```

For the formation energy, the calculation gives -170 meV per atom. The calculation puts the spin magnetization at 0.00 μB per cell. The space group is Immm.



The following is a GGA-PBE calculation of crystalline LiAcYMg at its relaxed geometry, from Alexandria via LeMat-Bulk.

```
LiAcYMg
1.0
0.000 3.947 3.947
3.947 0.000 3.947
3.947 3.947 0.000
Li Ac Y Mg
1 1 1 1
direct
0.000 0.000 0.000
0.750 0.750 0.750
0.250 0.250 0.250
0.500 0.500 0.500
```

For the formation energy, the calculation gives 37 meV per atom. The calculation puts the spin magnetization at 0.00 μB per cell. The space group is F-43m.



The following is a GGA-PBE calculation of crystalline CrIr2Au at its relaxed geometry, from Alexandria via LeMat-Bulk.

```
CrIr2Au
1.0
2.744 0.000 0.000
0.000 2.744 0.000
0.000 0.000 7.854
Cr Ir Au
1 2 1
direct
0.000 0.000 0.000
0.000 0.000 0.469
0.500 0.500 0.222
0.500 0.500 0.746
```

As for the relative energy among the computed polymorphs: 147 meV per atom. For the formation energy, the calculation gives 171 meV per atom. The calculation puts the spin magnetization at 1.30 μB per cell. The space group is P4mm.



The following is a GGA-PBE calculation of crystalline Zn2HOsPt at its relaxed geometry, from Alexandria via LeMat-Bulk.

```
Zn2HOsPt
1.0
4.197 0.000 0.000
0.000 4.197 0.000
0.000 0.000 3.458
Zn H Os Pt
2 1 1 1
direct
0.000 0.500 0.000
0.500 0.000 0.000
0.000 0.000 0.000
0.500 0.500 0.500
0.000 0.000 0.500
```

The calculation puts the spin magnetization at 0.00 μB per cell. The space group is P4/mmm. As for the total energy: -22.275 eV/cell.